[1]
# Zn2P, relaxed, DFT GGA-PBE
data_Zn2P
_cell_length_a 4.059
_cell_length_b 6.645
_cell_length_c 7.664
_cell_angle_alpha 90.00
_cell_angle_beta 90.00
_cell_angle_gamma 90.00
_space_group_name_H-M_alt 'P 1'
_space_group_IT_number 1
_space_group_name_Hall 'P 1'
loop_
_atom_site_label
_atom_site_fract_x
_atom_site_fract_y
_atom_site_fract_z
_atom_site_occupancy
Zn1 0.000 0.162 0.142 1
Zn2 0.000 0.338 0.642 1
Zn3 0.000 0.662 0.358 1
Zn4 0.000 0.838 0.858 1
Zn5 0.500 0.162 0.358 1
Zn6 0.500 0.338 0.858 1
Zn7 0.500 0.662 0.142 1
Zn8 0.500 0.838 0.642 1
P1 0.000 0.000 0.500 1
P2 0.000 0.500 0.000 1
P3 0.500 0.000 0.000 1
P4 0.500 0.500 0.500 1
# calculated volume: 206.7 Å³/cell
# symmetry: Cmce (64)

=====

[2]
# ZnP2, relaxed, DFT GGA-PBE
data_ZnP2
_cell_length_a 3.089
_cell_length_b 3.089
_cell_length_c 9.871
_cell_angle_alpha 90.00
_cell_angle_beta 90.00
_cell_angle_gamma 90.00
_space_group_name_H-M_alt 'P 1'
_space_group_IT_number 1
_space_group_name_Hall 'P 1'
loop_
_atom_site_label
_atom_site_fract_x
_atom_site_fract_y
_atom_site_fract_z
_atom_site_occupancy
Zn1 0.000 0.000 0.000 1
Zn2 0.500 0.500 0.500 1
P1 0.000 0.000 0.302 1
P2 0.000 0.000 0.698 1
P3 0.500 0.500 0.198 1
P4 0.500 0.500 0.802 1
# calculated volume: 94.2 Å³/cell
# symmetry: I4/mmm (139)

=====

Asked for calculated formation energy across the records above, the calculation gives 0.053, 0.373 eV per atom in order.